# 1
# CdInCuHg

A relaxed structure of CdInCuHg (PBE, the Open Quantum Materials Database).

a = 4.9257 Å, b = 4.9257 Å, c = 4.9257 Å
α = 60.00°, β = 60.00°, γ = 60.00°
With the nearest neighbours (Å) after each atom.
Atoms (fractional coordinates):
Cd1 0.0000 0.0000 0.0000  4 Hg 3.02, 4 Cu 3.02
In1 0.5000 0.5000 0.5000  4 Cu 3.02, 4 Hg 3.02
Cu1 0.7500 0.7500 0.7500  4 In 3.02, 4 Cd 3.02
Hg1 0.2500 0.2500 0.2500  4 In 3.02, 4 Cd 3.02

Calculated values
Energy ... -1.72 eV per atom
Calculated density ... 9.66 g/cm³
Symmetry ... F-43m, No. 216
Distance to the lowest polymorph of the same formula ... 0 meV per atom

# 2
# Sc4GaCoC2

A relaxed structure of Sc4GaCoC2 (PBE, the Open Quantum Materials Database).

a = 3.2747 Å, b = 3.2747 Å, c = 13.8418 Å
α = 90.00°, β = 90.00°, γ = 120.00°
With the nearest neighbours (Å) after each atom.
Atoms (fractional coordinates):
Sc1 0.0000 0.0000 0.1430  3 C 2.28
Sc2 0.0000 0.0000 0.8570  3 C 2.28
Sc3 0.3333 0.6667 0.3234  3 C 2.25
Sc4 0.3333 0.6667 0.6766  3 C 2.25
Ga1 0.0000 0.0000 0.5000  6 Sc 3.09, 6 Ga 3.27
Co1 0.3333 0.6667 0.0000  6 Sc 2.74
C1 0.6667 0.3333 0.2352  6 Sc 2.25-2.28
C2 0.6667 0.3333 0.7648  6 Sc 2.25-2.28

Calculated values
Energy ... -7.08 eV per atom
Calculated density ... 4.30 g/cm³
Symmetry ... P-6m2, No. 187

# 3
# NpAsAu

A relaxed structure of NpAsAu (PBE, the Open Quantum Materials Database).

a = 4.6689 Å, b = 4.6689 Å, c = 4.6689 Å
α = 60.00°, β = 60.00°, γ = 60.00°
With the nearest neighbours (Å) after each atom.
Atoms (fractional coordinates):
Np1 0.0000 0.0000 0.0000  4 As 2.86
As1 0.7500 0.7500 0.7500  4 Au 2.86, 4 Np 2.86
Au1 0.5000 0.5000 0.5000  4 As 2.86

Calculated values
Energy ... -7.07 eV per atom
Calculated density ... 11.74 g/cm³
Symmetry ... F-43m, No. 216